Material: PmCd2SnAu4
Method: DFT, PBE
State: relaxed

The structure in POSCAR format:
```
PmCd2SnAu4
1.0
2.3887 1.3791 8.9236
-2.3887 1.3791 8.9236
0.0000 -2.7582 8.9236
Pm Cd Sn Au
1 2 1 4
Direct
0.0000 0.0000 0.0000
0.2528 0.2528 0.2528
0.7472 0.7472 0.7472
0.5000 0.5000 0.5000
0.1207 0.1207 0.1207
0.3859 0.3859 0.3859
0.6141 0.6141 0.6141
0.8793 0.8793 0.8793
```

Values from the calculation:
The density of states at the Fermi level comes out at 0.26 states/eV/atom. The calculation puts the formation energy at -0.383 eV per atom. The value obtained for the volume is 176 Å³/f.u.